Here is ErNbCr4 after structural relaxation from the Alexandria database. Energies are from PBE.

a b c (Å): 5.0395 5.0395 5.0395
angles (deg): 60.00 60.00 60.00
Closest atoms and distances in Å follow each position.
Fractional coordinates of all 6 atoms:
Er: 0.0000 0.0000 0.0000  12 Cr 2.96, 4 Nb 3.09
Nb: 0.7500 0.7500 0.7500  12 Cr 2.95, 4 Er 3.09
Cr: 0.3752 0.3752 0.3752  6 Cr 2.52
Cr: 0.3752 0.3752 0.8744  6 Cr 2.52
Cr: 0.3752 0.8744 0.3752  6 Cr 2.52
Cr: 0.8744 0.3752 0.3752  6 Cr 2.52

Computed properties:
ΔH_f (0 K) = 0.77 eV per formula unit
DOS at the Fermi energy = 6.21 states/eV per cell